# 1
Below is an optimized crystal structure of Cs2BaHg2, with properties calculated at the PBE-GGA level.

Computed properties:
**Magnetization**: 0.000 μB/atom
**Energy relative to the lowest polymorph listed for this composition**: 140 meV per atom
**DOS at the Fermi energy**: 1.526 states/eV/atom
**Space-group type**: No. 127
**Formation enthalpy at 0 K**: -1.153 kcal/mol of atoms

```
Cs2BaHg2
1.0
10.6346 0.0000 0.0000
0.0000 10.6346 0.0000
0.0000 0.0000 4.2679
Cs Ba Hg
4 2 4
Direct
0.8718 0.6282 0.0000 Cs
0.6282 0.1282 0.0000 Cs
0.3718 0.8718 0.0000 Cs
0.1282 0.3718 0.0000 Cs
0.0000 0.0000 0.0000 Ba
0.5000 0.5000 0.0000 Ba
0.6752 0.8248 0.5000 Hg
0.8248 0.3248 0.5000 Hg
0.3248 0.1752 0.5000 Hg
0.1752 0.6752 0.5000 Hg
```

---

# 2
Below is an optimized crystal structure of CsBa2Hg10, with properties calculated at the PBE-GGA level.

Computed properties:
**Magnetization**: 0.000 μB/atom
**DOS at the Fermi energy**: 0.523 states/eV/atom
**Space-group type**: No. 55
**Formation enthalpy at 0 K**: -5.088 kcal/mol of atoms

```
CsBa2Hg10
1.0
-2.8844 3.6453 -4.2779
-6.1980 -0.2647 3.9535
6.4259 18.3485 11.3023
Hg Cs Ba
20 2 4
Direct
0.0000 0.5393 0.7746 Hg
0.0000 0.6809 0.6486 Hg
0.0000 0.3191 0.3514 Hg
0.0000 0.5327 0.9282 Hg
0.7344 0.1647 0.1624 Hg
0.0000 0.0327 0.5718 Hg
0.7344 0.3353 0.6624 Hg
0.0000 0.4673 0.0718 Hg
0.2656 0.6647 0.3376 Hg
0.0000 0.0393 0.7254 Hg
0.7344 0.8353 0.8376 Hg
0.0000 0.4607 0.2254 Hg
0.0000 0.8191 0.1486 Hg
0.2656 0.1647 0.1624 Hg
0.0000 0.9607 0.2746 Hg
0.0000 0.9673 0.4282 Hg
0.2656 0.8353 0.8376 Hg
0.7344 0.6647 0.3376 Hg
0.2656 0.3353 0.6624 Hg
0.0000 0.1809 0.8514 Hg
0.0000 0.5000 0.5000 Cs
0.0000 0.0000 0.0000 Cs
0.5000 0.6411 0.1863 Ba
0.5000 0.1411 0.3137 Ba
0.5000 0.8589 0.6863 Ba
0.5000 0.3589 0.8137 Ba
```